[1]
Dy2YTh2: optimized geometry, PBE-GGA.

Properties
Its density of states at the Fermi level is 1.33 states/eV/atom. The calculation puts the energy of formation from the pure elements at 3 kJ/mol of atoms. Its total energy is -121.4 eV per cell. Its distance to the lowest polymorph of the same formula is 0.0000 eV/atom.

Unit cell a=14.619 b=7.129 c=6.199 alpha=90.00 beta=98.19 gamma=90.00
Space group P2_1/c (No. 14)
Unique sites:
Dy (0.098, 0.124, 0.450) (multiplicity 4)
Dy (0.304, 0.123, 0.853) (multiplicity 4)
Y (0.302, 0.627, 0.850) (multiplicity 4)
Th (0.098, 0.629, 0.451) (multiplicity 4)
Th (0.500, 0.124, 0.252) (multiplicity 4)


[2]
Dy5YTh4: optimized geometry, PBE-GGA.

Properties
Its density of states at the Fermi level is 1.36 states/eV/atom. The calculation puts the energy of formation from the pure elements at 21 kJ/mol of atoms. Its total energy is -57.0 eV per cell.

Unit cell a=3.479 b=9.172 c=10.670 alpha=95.00 beta=90.03 gamma=100.87
Space group P-1 (No. 2)
Unique sites:
Dy (0.000, 0.000, 0.000) (multiplicity 1)
Dy (0.311, 0.623, 0.905) (multiplicity 2)
Dy (0.351, 0.704, 0.261) (multiplicity 2)
Y (0.000, 0.000, 0.500) (multiplicity 1)
Th (0.183, 0.366, 0.415) (multiplicity 2)
Th (0.460, 0.922, 0.748) (multiplicity 2)


[3]
Dy2YTh2: optimized geometry, PBE-GGA.

Properties
Its density of states at the Fermi level is 1.27 states/eV/atom. The calculation puts the energy of formation from the pure elements at 16 kJ/mol of atoms. Its total energy is -59.3 eV per cell. Its distance to the lowest polymorph of the same formula is 0.1365 eV/atom.

Unit cell a=9.532 b=9.532 c=3.621 alpha=90.00 beta=90.00 gamma=90.00
Space group P4/mbm (No. 127)
Unique sites:
Dy (0.125, 0.375, 0.000) (multiplicity 4)
Y (0.000, 0.000, 0.000) (multiplicity 2)
Th (0.173, 0.673, 0.500) (multiplicity 4)


[4]
Dy12Y7Th: optimized geometry, PBE-GGA.

Properties
Its density of states at the Fermi level is 1.24 states/eV/atom. The calculation puts the energy of formation from the pure elements at 73 kJ/mol of atoms. Its total energy is -185.7 eV per cell. Its distance to the lowest polymorph of the same formula is 0.5242 eV/atom.

Unit cell a=11.339 b=11.339 c=11.339 alpha=90.00 beta=90.00 gamma=90.00
Space group Im-3m (No. 229)
Unique sites:
Dy (0.000, 0.224, 0.224) (multiplicity 24)
Y (0.000, 0.000, 0.500) (multiplicity 6)
Y (0.250, 0.250, 0.250) (multiplicity 8)
Th (0.000, 0.000, 0.000) (multiplicity 2)


[5]
Dy4YTh: optimized geometry, PBE-GGA.

Properties
Its density of states at the Fermi level is 2.13 states/eV/atom. The calculation puts the energy of formation from the pure elements at 30 kJ/mol of atoms. Its total energy is -121.7 eV per cell. Its distance to the lowest polymorph of the same formula is 0.2941 eV/atom.

Unit cell a=9.244 b=9.244 c=9.244 alpha=90.00 beta=90.00 gamma=90.00
Space group F-43m (No. 216)
Unique sites:
Dy (0.125, 0.125, 0.125) (multiplicity 16)
Y (0.000, 0.000, 0.500) (multiplicity 4)
Th (0.250, 0.250, 0.750) (multiplicity 4)


[6]
Dy12Y7Th: optimized geometry, PBE-GGA.

Properties
Its density of states at the Fermi level is 2.04 states/eV/atom. The calculation puts the energy of formation from the pure elements at 22 kJ/mol of atoms. Its total energy is -309.9 eV per cell. Its distance to the lowest polymorph of the same formula is 0.0000 eV/atom.

Unit cell a=12.2291 b=12.2291 c=15.2297 alpha=90.00 beta=90.00 gamma=120.00
Space group R-3 (No. 148, hexagonal axes)
Unique sites:
Dy (0.0150, 0.5709, 0.2050) (multiplicity 18)
Dy (0.0578, 0.4704, 0.5882) (multiplicity 18)
Y (0.0000, 0.0000, 0.0000) (multiplicity 3)
Y (0.0407, 0.8556, 0.3040) (multiplicity 18)
Th (0.0000, 0.0000, 0.5000) (multiplicity 3)